#A
4
Lattice="2.966 -3.608 -1.707 -0.416 -4.618 1.796 -1.873 -3.617 -2.852" Properties=species:S:1:pos:R:3 comment="GGA-PBE KHfCr2, optimized geometry" dos_ef_per_ev_cell=3.2 sg=Fm-3m crystal_system=cubic pbc="T T T"
Hf 0.339 -5.922 -1.381
K 0.000 0.000 0.000
Cr 0.169 -2.961 -0.691
Cr 0.508 -8.882 -2.072


#B
8
Lattice="-4.871 1.070 0.908 -1.393 -3.295 -3.591 -3.439 -7.874 4.983" Properties=species:S:1:pos:R:3 comment="GGA-PBE KHfCr2, optimized geometry" dos_ef_per_ev_cell=7.1 sg=I4_1/amd crystal_system=tetragonal pbc="T T T"
K -3.132 -1.113 -1.341
Hf 0.000 0.000 0.000
Cr -5.993 -3.092 -0.204
Hf -5.721 -3.958 2.274
K -3.982 -6.141 0.025
Cr -7.015 -5.381 4.083
Cr -5.295 -1.444 1.591
Cr -4.580 -5.917 3.628


#A takes first place; second place is 30.8 kJ/mol of atoms up.


#A
4
Lattice="-0.030 1.729 4.920 -1.706 4.812 1.063 -4.526 0.668 2.501" Properties=species:S:1:pos:R:3 comment="GGA-PBE La2HfCr, optimized geometry" dos_ef_per_ev_cell=11.6 sg=Fm-3m crystal_system=cubic pbc="T T T"
La -1.566 1.802 2.121
Cr 0.000 0.000 0.000
Hf -3.131 3.604 4.242
La -4.697 5.407 6.363


#B
8
Lattice="8.465 0.000 0.000 0.000 8.465 0.000 4.233 4.233 3.094" Properties=species:S:1:pos:R:3 comment="GGA-PBE La2HfCr, optimized geometry" dos_ef_per_ev_cell=13.3 sg=I-42d crystal_system=tetragonal pbc="T T T"
La 10.581 10.222 2.321
Hf 0.000 0.000 0.000
La 5.989 2.116 0.774
La 2.476 6.349 0.774
Cr 4.233 8.465 1.547
Hf 8.465 4.233 1.547
La 6.349 6.709 2.321
Cr 4.233 4.233 0.000


#B takes first place; second place is 2.3 kJ/mol of atoms up.